Entry 1:
Here is a geometry-optimized TbErZr structure from Alexandria via LeMat-Bulk. Energies are from PBE-GGA.

## Properties
For the formation energy, the calculation gives 0.075 eV per atom. For the energy above the most stable polymorph in this dataset, the calculation gives 0 meV per atom. The density is 8.22 g/cm³. As for the space group: I4mm, No. 107. The value obtained for the size of the total moment is 0.000 μB per atom.

Cell lengths 3.395, 3.395, 14.637 Å; angles 90.00, 90.00, 90.00 degrees
Fractional positions:
Tb (0.000, 0.000, 0.000)
Tb (0.500, 0.500, 0.500)
Er (0.000, 0.000, 0.687)
Er (0.500, 0.500, 0.187)
Zr (0.000, 0.000, 0.342)
Zr (0.500, 0.500, 0.842)

---

Entry 2:
Here is a geometry-optimized CaPm5Ag4 structure from Alexandria via LeMat-Bulk. Energies are from PBE-GGA.

## Properties
For the formation energy, the calculation gives -0.185 eV per atom. The density is 7.02 g/cm³. As for the space group: P4/mmm, No. 123. The value obtained for the size of the total moment is 0.000 μB per atom.

Cell lengths 3.719, 3.719, 20.447 Å; angles 90.00, 90.00, 90.00 degrees
Fractional positions:
Ca (0.000, 0.000, 0.000)
Pm (0.500, 0.500, 0.136)
Pm (0.500, 0.500, 0.316)
Pm (0.500, 0.500, 0.500)
Pm (0.500, 0.500, 0.684)
Pm (0.500, 0.500, 0.864)
Ag (0.000, 0.000, 0.224)
Ag (0.000, 0.000, 0.408)
Ag (0.000, 0.000, 0.592)
Ag (0.000, 0.000, 0.776)

---

Entry 3:
Here is a geometry-optimized TiV3Tc4 structure from Alexandria via LeMat-Bulk. Energies are from PBE-GGA.

## Properties
For the formation energy, the calculation gives -0.413 eV per atom. The density is 8.72 g/cm³. As for the space group: Pmmm, No. 47. The value obtained for the size of the total moment is 0.000 μB per atom.

Cell lengths 3.043, 4.308, 8.612 Å; angles 90.00, 90.00, 90.00 degrees
Fractional positions:
Ti (0.000, 0.000, 0.000)
V (0.000, 0.000, 0.500)
V (0.000, 0.500, 0.251)
V (0.000, 0.500, 0.749)
Tc (0.500, 0.000, 0.256)
Tc (0.500, 0.000, 0.744)
Tc (0.500, 0.500, 0.000)
Tc (0.500, 0.500, 0.500)

---

Entry 4:
Here is a geometry-optimized Be2RhPb structure from Alexandria via LeMat-Bulk. Energies are from PBE-GGA.

## Properties
For the formation energy, the calculation gives -0.045 eV per atom. The density is 8.25 g/cm³. As for the space group: Cm, No. 8. The value obtained for the size of the total moment is 0.000 μB per atom.

Cell lengths 6.288, 3.632, 5.781 Å; angles 90.00, 90.21, 90.00 degrees
Fractional positions:
Be (0.000, 0.000, 0.000)
Be (0.167, 0.500, 0.003)
Be (0.500, 0.500, 0.000)
Be (0.667, 0.000, 0.003)
Rh (0.333, 0.000, 0.845)
Rh (0.833, 0.500, 0.845)
Pb (0.165, 0.500, 0.470)
Pb (0.665, 0.000, 0.470)

---

Entry 5:
Here is a geometry-optimized Li3TlAs2 structure from Alexandria via LeMat-Bulk. Energies are from PBE-GGA.

## Properties
For the formation energy, the calculation gives -0.373 eV per atom. The density is 5.33 g/cm³. As for the space group: Immm, No. 71. The value obtained for the size of the total moment is 0.000 μB per atom.

Cell lengths 8.098, 8.098, 8.098 Å; angles 148.53, 121.39, 68.06 degrees
Fractional positions:
Li (0.032, 0.323, 0.710)
Li (0.170, 0.000, 0.170)
Li (0.387, 0.677, 0.710)
Li (0.613, 0.323, 0.290)
Li (0.830, 0.000, 0.830)
Li (0.968, 0.677, 0.290)
Tl (0.357, 0.857, 0.500)
Tl (0.643, 0.143, 0.500)
As (0.186, 0.186, 0.000)
As (0.343, 0.500, 0.843)
As (0.657, 0.500, 0.157)
As (0.814, 0.814, 0.000)

---

Entry 6:
Here is a geometry-optimized BaH6Pd2N2 structure from Alexandria via LeMat-Bulk. Energies are from PBE-GGA.

## Properties
The calculation puts the electronic total energy at -4.72 eV/atom. The density is 3.76 g/cm³. As for the space group: P-1, No. 2. The value obtained for the size of the total moment is 0.000 μB per atom.

Cell lengths 4.753, 6.075, 7.061 Å; angles 100.05, 107.88, 112.08 degrees
Fractional positions:
Ba (0.000, 0.000, 0.000)
H (0.089, 0.396, 0.385)
H (0.109, 0.844, 0.549)
H (0.296, 0.315, 0.572)
H (0.704, 0.685, 0.428)
H (0.891, 0.156, 0.451)
H (0.911, 0.604, 0.615)
Pd (0.315, 0.583, 0.056)
Pd (0.685, 0.417, 0.944)
N (0.100, 0.244, 0.425)
N (0.900, 0.756, 0.575)